A geometry-optimized K2Cr2Fe structure. Source: Alexandria, functional PBE.

Calculated values
**Offset from the most stable computed form**: 400 meV/atom
**SG**: I4/mmm (139)
**E_tot**: -0.162 Ha/atom
**Total magnetization**: 2.03 μB per formula unit

Unit cell a=3.848 b=3.848 c=14.676 alpha=90.00 beta=90.00 gamma=90.00
Atoms (fractional coordinates):
K (0.000, 0.500, 0.250)
K (0.000, 0.500, 0.750)
K (0.500, 0.000, 0.250)
K (0.500, 0.000, 0.750)
Cr (0.000, 0.000, 0.060)
Cr (0.000, 0.000, 0.940)
Cr (0.500, 0.500, 0.440)
Cr (0.500, 0.500, 0.560)
Fe (0.000, 0.000, 0.500)
Fe (0.500, 0.500, 0.000)

***

A geometry-optimized V2NiGe2 structure. Source: Alexandria, functional PBE.

Calculated values
**Offset from the most stable computed form**: 73 meV/atom
**SG**: P4/mbm (127)
**E_tot**: -0.250 Ha/atom
**Total magnetization**: 0.00 μB per formula unit

Unit cell a=6.209 b=6.209 c=3.600 alpha=90.00 beta=90.00 gamma=90.00
Atoms (fractional coordinates):
V (0.166, 0.334, 0.000)
V (0.334, 0.834, 0.000)
V (0.666, 0.166, 0.000)
V (0.834, 0.666, 0.000)
Ni (0.000, 0.000, 0.500)
Ni (0.500, 0.500, 0.500)
Ge (0.141, 0.641, 0.500)
Ge (0.359, 0.141, 0.500)
Ge (0.641, 0.859, 0.500)
Ge (0.859, 0.359, 0.500)

***

A geometry-optimized Ba2CaHg structure. Source: Alexandria, functional PBE.

Calculated values
**Offset from the most stable computed form**: 84 meV/atom
**SG**: Imm2 (44)
**E_tot**: -0.063 Ha/atom
**Total magnetization**: 0.00 μB per formula unit

Unit cell a=4.737 b=13.618 c=6.250 alpha=90.00 beta=90.00 gamma=90.00
Atoms (fractional coordinates):
Ba (0.000, 0.175, 0.000)
Ba (0.000, 0.825, 0.000)
Ba (0.500, 0.325, 0.500)
Ba (0.500, 0.675, 0.500)
Ca (0.000, 0.500, 0.001)
Ca (0.500, 0.000, 0.501)
Hg (0.000, 0.500, 0.501)
Hg (0.500, 0.000, 0.001)

***

A geometry-optimized Rb2Ba2Au structure. Source: Alexandria, functional PBE.

Calculated values
**SG**: P4/mbm (127)
**E_tot**: -0.070 Ha/atom
**Total magnetization**: 0.00 μB per formula unit

Unit cell a=8.799 b=8.799 c=8.046 alpha=90.00 beta=90.00 gamma=90.00
Atoms (fractional coordinates):
Rb (0.177, 0.323, 0.000)
Rb (0.323, 0.823, 0.000)
Rb (0.677, 0.177, 0.000)
Rb (0.823, 0.677, 0.000)
Ba (0.180, 0.680, 0.500)
Ba (0.320, 0.180, 0.500)
Ba (0.680, 0.820, 0.500)
Ba (0.820, 0.320, 0.500)
Au (0.000, 0.000, 0.500)
Au (0.500, 0.500, 0.500)

***

A geometry-optimized CaSmMg structure. Source: Alexandria, functional PBE.

Calculated values
**Offset from the most stable computed form**: 344 meV/atom
**SG**: P4/nmm (129)
**E_tot**: -0.091 Ha/atom
**Total magnetization**: 0.22 μB per formula unit

Unit cell a=5.384 b=5.384 c=7.823 alpha=90.00 beta=90.00 gamma=90.00
Atoms (fractional coordinates):
Ca (0.250, 0.750, 0.000)
Ca (0.750, 0.250, 0.000)
Sm (0.250, 0.750, 0.500)
Sm (0.750, 0.250, 0.500)
Mg (0.250, 0.250, 0.259)
Mg (0.750, 0.750, 0.741)

***

A geometry-optimized AcPr5Sn3 structure. Source: Alexandria, functional PBE.

Calculated values
**SG**: P6_3/mcm (193)
**E_tot**: -0.184 Ha/atom
**Total magnetization**: 2.68 μB per formula unit

Unit cell a=9.786 b=9.786 c=6.938 alpha=90.00 beta=90.00 gamma=120.00
Atoms (fractional coordinates):
Ac (0.000, 0.000, 0.000)
Ac (0.000, 0.000, 0.500)
Pr (0.000, 0.335, 0.250)
Pr (0.000, 0.665, 0.750)
Pr (0.333, 0.667, 0.000)
Pr (0.333, 0.667, 0.500)
Pr (0.335, 0.000, 0.250)
Pr (0.335, 0.335, 0.750)
Pr (0.665, 0.000, 0.750)
Pr (0.665, 0.665, 0.250)
Pr (0.667, 0.333, 0.000)
Pr (0.667, 0.333, 0.500)
Sn (0.000, 0.336, 0.750)
Sn (0.000, 0.664, 0.250)
Sn (0.336, 0.000, 0.750)
Sn (0.336, 0.336, 0.250)
Sn (0.664, 0.000, 0.250)
Sn (0.664, 0.664, 0.750)

***

A geometry-optimized Li2La2TlPd5 structure. Source: Alexandria, functional PBE.

Calculated values
**SG**: P4/mbm (127)
**E_tot**: -0.176 Ha/atom
**Total magnetization**: 0.00 μB per formula unit

Unit cell a=9.773 b=9.773 c=3.905 alpha=90.00 beta=90.00 gamma=90.00
Atoms (fractional coordinates):
Li (0.117, 0.383, 0.000)
Li (0.383, 0.883, 0.000)
Li (0.617, 0.117, 0.000)
Li (0.883, 0.617, 0.000)
La (0.181, 0.681, 0.000)
La (0.319, 0.181, 0.000)
La (0.681, 0.819, 0.000)
La (0.819, 0.319, 0.000)
Tl (0.000, 0.000, 0.000)
Tl (0.500, 0.500, 0.000)
Pd (0.000, 0.500, 0.500)
Pd (0.069, 0.214, 0.500)
Pd (0.214, 0.931, 0.500)
Pd (0.286, 0.431, 0.500)
Pd (0.431, 0.714, 0.500)
Pd (0.500, 0.000, 0.500)
Pd (0.569, 0.286, 0.500)
Pd (0.714, 0.569, 0.500)
Pd (0.786, 0.069, 0.500)
Pd (0.931, 0.786, 0.500)

***

A geometry-optimized ScAlTl2Te4 structure. Source: Alexandria, functional PBE.

Calculated values
**SG**: I-42m (121)
**E_tot**: -0.149 Ha/atom
**Total magnetization**: 0.00 μB per formula unit

Unit cell a=8.676 b=8.676 c=7.067 alpha=90.00 beta=90.00 gamma=90.00
Atoms (fractional coordinates):
Sc (0.000, 0.000, 0.000)
Sc (0.500, 0.500, 0.500)
Al (0.000, 0.000, 0.500)
Al (0.500, 0.500, 0.000)
Tl (0.000, 0.500, 0.000)
Tl (0.000, 0.500, 0.500)
Tl (0.500, 0.000, 0.000)
Tl (0.500, 0.000, 0.500)
Te (0.171, 0.171, 0.733)
Te (0.171, 0.829, 0.267)
Te (0.329, 0.329, 0.233)
Te (0.329, 0.671, 0.767)
Te (0.671, 0.329, 0.767)
Te (0.671, 0.671, 0.233)
Te (0.829, 0.171, 0.267)
Te (0.829, 0.829, 0.733)

***

A geometry-optimized La5PuSb4 structure. Source: Alexandria, functional PBE.

Calculated values
**SG**: C2/m (12)
**E_tot**: -0.231 Ha/atom
**Total magnetization**: 6.36 μB per formula unit

Unit cell a=10.042 b=10.042 c=8.912 alpha=103.84 beta=103.84 gamma=25.75
Atoms (fractional coordinates):
La (0.000, 0.000, 0.000)
La (0.330, 0.330, 0.158)
La (0.335, 0.335, 0.670)
La (0.665, 0.665, 0.330)
La (0.670, 0.670, 0.842)
Pu (0.000, 0.000, 0.500)
Sb (0.167, 0.167, 0.587)
Sb (0.496, 0.496, 0.253)
Sb (0.504, 0.504, 0.747)
Sb (0.833, 0.833, 0.413)

***

A geometry-optimized TbSc5Al3 structure. Source: Alexandria, functional PBE.

Calculated values
**SG**: P6_3/mcm (193)
**E_tot**: -0.206 Ha/atom
**Total magnetization**: 0.00 μB per formula unit

Unit cell a=8.587 b=8.587 c=6.239 alpha=90.00 beta=90.00 gamma=120.00
Atoms (fractional coordinates):
Tb (0.000, 0.000, 0.000)
Tb (0.000, 0.000, 0.500)
Sc (0.000, 0.337, 0.250)
Sc (0.000, 0.663, 0.750)
Sc (0.333, 0.667, 0.000)
Sc (0.333, 0.667, 0.500)
Sc (0.337, 0.000, 0.250)
Sc (0.337, 0.337, 0.750)
Sc (0.663, 0.000, 0.750)
Sc (0.663, 0.663, 0.250)
Sc (0.667, 0.333, 0.000)
Sc (0.667, 0.333, 0.500)
Al (0.000, 0.337, 0.750)
Al (0.000, 0.663, 0.250)
Al (0.337, 0.000, 0.750)
Al (0.337, 0.337, 0.250)
Al (0.663, 0.000, 0.250)
Al (0.663, 0.663, 0.750)

***

A geometry-optimized NaSr2H12Rh3 structure. Source: Alexandria, functional PBE.

Calculated values
**SG**: R-3m (166)
**E_tot**: -0.150 Ha/atom
**Total magnetization**: 0.00 μB per formula unit

Unit cell a=6.257 b=6.257 c=6.257 alpha=61.32 beta=61.32 gamma=61.32
Atoms (fractional coordinates):
Na (0.000, 0.000, 0.000)
Sr (0.384, 0.384, 0.384)
Sr (0.616, 0.616, 0.616)
H (0.122, 0.122, 0.582)
H (0.122, 0.582, 0.122)
H (0.134, 0.699, 0.699)
H (0.301, 0.301, 0.866)
H (0.301, 0.866, 0.301)
H (0.418, 0.878, 0.878)
H (0.582, 0.122, 0.122)
H (0.699, 0.134, 0.699)
H (0.699, 0.699, 0.134)
H (0.866, 0.301, 0.301)
H (0.878, 0.418, 0.878)
H (0.878, 0.878, 0.418)
Rh (0.000, 0.000, 0.500)
Rh (0.000, 0.500, 0.000)
Rh (0.500, 0.000, 0.000)

***

A geometry-optimized Pr4Tm5Mg structure. Source: Alexandria, functional PBE.

Calculated values
**SG**: P4/mmm (123)
**E_tot**: -0.158 Ha/atom
**Total magnetization**: 0.00 μB per formula unit

Unit cell a=3.643 b=3.643 c=23.980 alpha=90.00 beta=90.00 gamma=90.00
Atoms (fractional coordinates):
Pr (0.000, 0.000, 0.104)
Pr (0.000, 0.000, 0.312)
Pr (0.000, 0.000, 0.688)
Pr (0.000, 0.000, 0.896)
Tm (0.500, 0.500, 0.000)
Tm (0.500, 0.500, 0.208)
Tm (0.500, 0.500, 0.415)
Tm (0.500, 0.500, 0.585)
Tm (0.500, 0.500, 0.792)
Mg (0.000, 0.000, 0.500)

***

A geometry-optimized KY2Os structure. Source: Alexandria, functional PBE.

Calculated values
**Offset from the most stable computed form**: 800 meV/atom
**SG**: I-4m2 (119)
**E_tot**: -0.203 Ha/atom
**Total magnetization**: 0.00 μB per formula unit

Unit cell a=4.388 b=4.388 c=10.528 alpha=90.00 beta=90.00 gamma=90.00
Atoms (fractional coordinates):
K (0.000, 0.000, 0.000)
K (0.500, 0.500, 0.500)
Y (0.000, 0.000, 0.500)
Y (0.000, 0.500, 0.250)
Y (0.500, 0.000, 0.750)
Y (0.500, 0.500, 0.000)
Os (0.000, 0.500, 0.750)
Os (0.500, 0.000, 0.250)

***

A geometry-optimized ZrTi2Br8 structure. Source: Alexandria, functional PBE.

Calculated values
**SG**: C2/m (12)
**E_tot**: -0.167 Ha/atom
**Total magnetization**: 1.97 μB per formula unit

Unit cell a=8.191 b=8.191 c=6.343 alpha=90.36 beta=90.36 gamma=79.28
Atoms (fractional coordinates):
Zr (0.000, 0.000, 0.000)
Ti (0.176, 0.176, 0.341)
Ti (0.824, 0.824, 0.659)
Br (0.110, 0.713, 0.775)
Br (0.172, 0.172, 0.738)
Br (0.287, 0.890, 0.225)
Br (0.358, 0.358, 0.250)
Br (0.642, 0.642, 0.750)
Br (0.713, 0.110, 0.775)
Br (0.828, 0.828, 0.262)
Br (0.890, 0.287, 0.225)

***

A geometry-optimized CaHoTlZn structure. Source: Alexandria, functional PBE.

Calculated values
**Offset from the most stable computed form**: 0 meV/atom
**SG**: P4mm (99)
**E_tot**: -0.107 Ha/atom
**Total magnetization**: 0.16 μB per formula unit

Unit cell a=3.685 b=3.685 c=7.602 alpha=90.00 beta=90.00 gamma=90.00
Atoms (fractional coordinates):
Ca (0.000, 0.000, 0.000)
Ho (0.000, 0.000, 0.462)
Tl (0.500, 0.500, 0.725)
Zn (0.500, 0.500, 0.250)

***

A geometry-optimized Sr2ScMn structure. Source: Alexandria, functional PBE.

Calculated values
**Offset from the most stable computed form**: 286 meV/atom
**SG**: Immm (71)
**E_tot**: -0.152 Ha/atom
**Total magnetization**: 2.89 μB per formula unit

Unit cell a=3.959 b=5.523 c=11.753 alpha=90.00 beta=90.00 gamma=90.00
Atoms (fractional coordinates):
Sr (0.000, 0.000, 0.209)
Sr (0.000, 0.000, 0.791)
Sr (0.500, 0.500, 0.291)
Sr (0.500, 0.500, 0.709)
Sc (0.000, 0.500, 0.000)
Sc (0.500, 0.000, 0.500)
Mn (0.000, 0.500, 0.500)
Mn (0.500, 0.000, 0.000)

***

A geometry-optimized LaP2AuS structure. Source: Alexandria, functional PBE.

Calculated values
**Offset from the most stable computed form**: 1013 meV/atom
**SG**: P4/mmm (123)
**E_tot**: -0.139 Ha/atom
**Total magnetization**: 1.53 μB per formula unit

Unit cell a=5.639 b=5.639 c=5.381 alpha=90.00 beta=90.00 gamma=90.00
Atoms (fractional coordinates):
La (0.000, 0.000, 0.000)
P (0.000, 0.500, 0.000)
P (0.500, 0.000, 0.000)
Au (0.500, 0.500, 0.500)
S (0.000, 0.000, 0.500)

***

A geometry-optimized FeAsI3 structure. Source: Alexandria, functional PBE.

Calculated values
**Offset from the most stable computed form**: 0 meV/atom
**SG**: Pm-3m (221)
**E_tot**: -0.105 Ha/atom
**Total magnetization**: 0.00 μB per formula unit

Unit cell a=5.176 b=5.176 c=5.176 alpha=90.00 beta=90.00 gamma=90.00
Atoms (fractional coordinates):
Fe (0.000, 0.000, 0.000)
As (0.500, 0.500, 0.500)
I (0.000, 0.000, 0.500)
I (0.000, 0.500, 0.000)
I (0.500, 0.000, 0.000)

***

A geometry-optimized La4RuS2Cl structure. Source: Alexandria, functional PBE.

Calculated values
**SG**: P2/m (10)
**E_tot**: -0.235 Ha/atom
**Total magnetization**: 0.00 μB per formula unit

Unit cell a=7.305 b=4.117 c=7.321 alpha=90.00 beta=107.72 gamma=90.00
Atoms (fractional coordinates):
La (0.246, 0.000, 0.228)
La (0.254, 0.500, 0.763)
La (0.746, 0.500, 0.237)
La (0.754, 0.000, 0.772)
Ru (0.500, 0.000, 0.000)
S (0.000, 0.000, 0.500)
S (0.000, 0.500, 0.000)
Cl (0.500, 0.500, 0.500)

***

A geometry-optimized CaTa2Mn structure. Source: Alexandria, functional PBE.

Calculated values
**Offset from the most stable computed form**: 937 meV/atom
**SG**: I-42d (122)
**E_tot**: -0.271 Ha/atom
**Total magnetization**: 1.92 μB per formula unit

Unit cell a=5.012 b=5.012 c=17.387 alpha=90.00 beta=90.00 gamma=90.00
Atoms (fractional coordinates):
Ca (0.000, 0.000, 0.000)
Ca (0.000, 0.500, 0.250)
Ca (0.500, 0.000, 0.750)
Ca (0.500, 0.500, 0.500)
Ta (0.019, 0.250, 0.625)
Ta (0.250, 0.519, 0.875)
Ta (0.250, 0.981, 0.375)
Ta (0.481, 0.250, 0.125)
Ta (0.519, 0.750, 0.125)
Ta (0.750, 0.019, 0.375)
Ta (0.750, 0.481, 0.875)
Ta (0.981, 0.750, 0.625)
Mn (0.000, 0.000, 0.500)
Mn (0.000, 0.500, 0.750)
Mn (0.500, 0.000, 0.250)
Mn (0.500, 0.500, 0.000)

***

A geometry-optimized TlTeAu2 structure. Source: Alexandria, functional PBE.

Calculated values
**Offset from the most stable computed form**: 53 meV/atom
**SG**: Pmmm (47)
**E_tot**: -0.109 Ha/atom
**Total magnetization**: 0.00 μB per formula unit

Unit cell a=3.642 b=4.247 c=6.625 alpha=90.00 beta=90.00 gamma=90.00
Atoms (fractional coordinates):
Tl (0.000, 0.000, 0.000)
Te (0.500, 0.000, 0.500)
Au (0.500, 0.500, 0.212)
Au (0.500, 0.500, 0.788)

***

A geometry-optimized InPtF3 structure. Source: Alexandria, functional PBE.

Calculated values
**Offset from the most stable computed form**: 67 meV/atom
**SG**: Pm-3m (221)
**E_tot**: -0.143 Ha/atom
**Total magnetization**: 0.33 μB per formula unit

Unit cell a=4.284 b=4.284 c=4.284 alpha=90.00 beta=90.00 gamma=90.00
Atoms (fractional coordinates):
In (0.000, 0.000, 0.000)
Pt (0.500, 0.500, 0.500)
F (0.000, 0.000, 0.500)
F (0.000, 0.500, 0.000)
F (0.500, 0.000, 0.000)

***

A geometry-optimized RbHg3Pt structure. Source: Alexandria, functional PBE.

Calculated values
**Offset from the most stable computed form**: 108 meV/atom
**SG**: P1 (1)
**E_tot**: -0.065 Ha/atom
**Total magnetization**: 0.00 μB per formula unit

Unit cell a=6.986 b=7.541 c=7.637 alpha=80.03 beta=63.18 gamma=62.84
Atoms (fractional coordinates):
Rb (0.000, 0.000, 0.000)
Rb (0.116, 0.436, 0.332)
Hg (0.020, 0.926, 0.526)
Hg (0.100, 0.467, 0.839)
Hg (0.450, 0.916, 0.183)
Hg (0.529, 0.924, 0.528)
Hg (0.597, 0.467, 0.842)
Hg (0.603, 0.354, 0.441)
Pt (0.508, 0.157, 0.828)
Pt (0.719, 0.767, 0.803)

***

A geometry-optimized RbAg3Sb structure. Source: Alexandria, functional PBE.

Calculated values
**Offset from the most stable computed form**: 1328 meV/atom
**SG**: Pm-3m (221)
**E_tot**: -0.054 Ha/atom
**Total magnetization**: 0.00 μB per formula unit

Unit cell a=5.583 b=5.583 c=5.583 alpha=90.00 beta=90.00 gamma=90.00
Atoms (fractional coordinates):
Rb (0.000, 0.000, 0.000)
Ag (0.000, 0.000, 0.500)
Ag (0.000, 0.500, 0.000)
Ag (0.500, 0.000, 0.000)
Sb (0.500, 0.500, 0.500)